VASP calculation (PBE+U) on an optimized crystal structure of VSbNO2.

As for the total energy: -30.4 eV for the cell shown.

The space group is P4/mmm (No. 123) and the conventional cell measures 3.9625, 3.9625 and 4.0383 Å, with angles of 90.00, 90.00 and 90.00 degrees. The distinct sites, in fractional coordinates, are V at (0.0000, 0.0000, 0.0000), Sb at (0.5000, 0.5000, 0.5000), N at (0.5000, 0.5000, 0.0000) and O at (0.0000, 0.5000, 0.5000).